# 1
PBE Zn2SeCl, relaxed; ΔE_f (raw) = -0.236 eV/atom; V = 93.92 Å³/f.u.; energy relative to the lowest polymorph listed for this composition = 431 meV/atom; DOS at the Fermi energy = 0.261 states/eV/atom; final energy = -17.6 eV for the cell shown; magnetization = 0.00 Bohr magnetons per cell
1.0
3.640 0.000 0.000
0.000 3.640 0.000
0.000 0.000 14.181
Zn Se Cl
4 2 2
direct
0.000 0.000 0.000
0.000 0.500 0.250
0.500 0.000 0.750
0.500 0.500 0.500
0.000 0.000 0.500
0.500 0.500 0.000
0.000 0.500 0.750
0.500 0.000 0.250


# 2
PBE Zn2SeCl, relaxed; ΔE_f (raw) = -0.401 eV/atom; V = 106.13 Å³/f.u.; energy relative to the lowest polymorph listed for this composition = 266 meV/atom; DOS at the Fermi energy = 0.268 states/eV/atom; final energy = -37.9 eV for the cell shown; magnetization = 0.00 Bohr magnetons per cell
1.0
5.915 0.000 0.000
0.000 5.915 0.000
0.000 0.000 12.135
Zn Se Cl
8 4 4
direct
0.230 0.250 0.125
0.250 0.730 0.375
0.250 0.770 0.875
0.270 0.250 0.625
0.730 0.750 0.625
0.750 0.230 0.875
0.750 0.270 0.375
0.770 0.750 0.125
0.000 0.000 0.000
0.000 0.500 0.250
0.500 0.000 0.750
0.500 0.500 0.500
0.000 0.000 0.500
0.000 0.500 0.750
0.500 0.000 0.250
0.500 0.500 0.000